[1]
Pr4CoS7 (PBE, optimized geometry); crystal system = hexagonal
1.0
4.8987 -8.4848 0.0000
4.8987 8.4848 0.0000
0.0000 0.0000 7.2424
Pr S Co
8 14 2
direct
0.6667 0.3333 0.6793
0.1807 0.8047 0.7262
0.3760 0.1807 0.2262
0.6240 0.8193 0.7262
0.1953 0.3760 0.7262
0.8047 0.6240 0.2262
0.3333 0.6667 0.1793
0.8193 0.1953 0.2262
0.8688 0.7444 0.8390
0.3333 0.6667 0.5560
0.7444 0.8757 0.3390
0.6667 0.3333 0.0560
0.8757 0.1312 0.8390
0.5307 0.4580 0.4600
0.1312 0.2556 0.3390
0.4693 0.5420 0.9600
0.0728 0.5307 0.9600
0.9272 0.4693 0.4600
0.1243 0.8688 0.3390
0.4580 0.9272 0.9600
0.2556 0.1243 0.8390
0.5420 0.0728 0.4600
0.0000 0.0000 0.3853
0.0000 0.0000 0.8853

---

[2]
Pr2CoS (PBE, optimized geometry); crystal system = orthorhombic
1.0
-0.6729 3.9706 0.2182
-4.0397 -0.6988 0.2590
2.8627 -0.1554 11.6562
Co S Pr
2 2 4
direct
0.7500 0.5219 0.0438
0.2500 0.4781 0.9562
0.2500 0.1899 0.3799
0.7500 0.8101 0.6201
0.2500 0.0673 0.1347
0.7500 0.6894 0.3787
0.2500 0.3106 0.6213
0.7500 0.9327 0.8653

---

[3]
PrCoS (PBE, optimized geometry); crystal system = orthorhombic
1.0
3.6924 0.0000 0.0000
-1.8462 3.1821 0.0000
0.0000 0.0000 10.7048
Pr Co S
2 2 2
direct
0.2772 0.5543 0.1863
0.2772 0.5543 0.8137
0.2789 0.5578 0.5000
0.6120 0.2241 0.0000
0.6107 0.2214 0.3670
0.6107 0.2214 0.6330

---

[4]
PrUCoS4 (PBE, optimized geometry); crystal system = monoclinic
1.0
6.3695 0.0000 0.1177
0.0000 5.7487 0.0000
-2.3452 0.0000 7.4826
Co S Pr U
2 8 2 2
direct
0.7643 0.2500 0.6692
0.2357 0.7500 0.3308
0.4270 0.7500 0.6023
0.5714 0.2500 0.8674
0.4286 0.7500 0.1326
0.9822 0.4904 0.2566
0.0178 0.9904 0.7434
0.9822 0.0096 0.2566
0.5730 0.2500 0.3977
0.0178 0.5096 0.7434
0.2595 0.2500 0.0633
0.7405 0.7500 0.9367
0.7539 0.7500 0.4440
0.2461 0.2500 0.5560

---

no.,total DFT energy (no corrections) (eV for the cell shown),Fermi-level density of states (states/eV/f.u.),ρ (Mg/m³)
1,-149.00,7.438,4.7
2,-49.76,2.360,6.3
3,-34.17,3.742,6.1
4,-97.89,6.109,6.8